<i>
An optimized crystal structure of ReSIN2. Source: the Alexandria database, functional PBE.

Computed properties:
magnetization = 4.43 μB/cell

a b c (Å): 3.870 3.870 6.517
angles (deg): 90.00 90.00 90.00
Positions (direct):
I  0.000  0.000  0.000
Re  0.500  0.500  0.500
S  0.000  0.000  0.500
N  0.000  0.500  0.000
N  0.500  0.000  0.000

=====

<ii>
An optimized crystal structure of ReSIN2. Source: the Alexandria database, functional PBE.

Computed properties:
magnetization = 2.80 μB/cell

a b c (Å): 3.687 3.687 6.789
angles (deg): 90.00 90.00 90.00
Positions (direct):
I  0.000  0.000  0.500
Re  0.500  0.500  0.500
S  0.000  0.000  0.000
N  0.000  0.500  0.000
N  0.500  0.000  0.000

=====

<iii>
An optimized crystal structure of ReSIN2. Source: the Alexandria database, functional PBE.

Computed properties:
magnetization = 0.00 μB/cell

a b c (Å): 3.888 3.888 5.503
angles (deg): 90.00 90.00 90.00
Positions (direct):
I  0.500  0.500  0.500
Re  0.000  0.000  0.000
S  0.000  0.000  0.500
N  0.000  0.500  0.000
N  0.500  0.000  0.000

=====

Most stable of them? <iii>.

=====

<i>
An optimized crystal structure of ReS2IN. Source: the Alexandria database, functional PBE.

Computed properties:
magnetization = 4.86 μB/cell

a b c (Å): 5.198 5.198 3.902
angles (deg): 90.00 90.00 90.00
Positions (direct):
I  0.000  0.000  0.000
Re  0.500  0.500  0.500
S  0.000  0.500  0.000
S  0.500  0.000  0.000
N  0.000  0.000  0.500

=====

<ii>
An optimized crystal structure of ReS2IN. Source: the Alexandria database, functional PBE.

Computed properties:
magnetization = 0.00 μB/cell

a b c (Å): 4.868 4.868 3.805
angles (deg): 90.00 90.00 90.00
Positions (direct):
I  0.500  0.500  0.500
Re  0.000  0.000  0.000
S  0.000  0.500  0.000
S  0.500  0.000  0.000
N  0.000  0.000  0.500

=====

Most stable of them? <ii>.

=====

<i>
An optimized crystal structure of ReSb2IN. Source: the Alexandria database, functional PBE.

Computed properties:
magnetization = 0.03 μB/cell

a b c (Å): 5.061 5.061 5.605
angles (deg): 90.00 90.00 90.00
Positions (direct):
I  0.000  0.000  0.500
Re  0.000  0.000  0.000
N  0.500  0.500  0.500
Sb  0.000  0.500  0.000
Sb  0.500  0.000  0.000

=====

<ii>
An optimized crystal structure of ReSb2IN. Source: the Alexandria database, functional PBE.

Computed properties:
magnetization = 0.18 μB/cell

a b c (Å): 4.606 4.606 4.618
angles (deg): 90.00 90.00 90.00
Positions (direct):
I  0.000  0.000  0.500
Re  0.500  0.500  0.500
N  0.000  0.000  0.000
Sb  0.000  0.500  0.000
Sb  0.500  0.000  0.000

=====

Most stable of them? <ii>.

=====

<i>
An optimized crystal structure of ScReIN2. Source: the Alexandria database, functional PBE.

Computed properties:
magnetization = 0.00 μB/cell

a b c (Å): 3.956 3.956 5.572
angles (deg): 90.00 90.00 90.00
Positions (direct):
I  0.000  0.000  0.500
Re  0.000  0.000  0.000
Sc  0.500  0.500  0.500
N  0.000  0.500  0.000
N  0.500  0.000  0.000

=====

<ii>
An optimized crystal structure of ScReIN2. Source: the Alexandria database, functional PBE.

Computed properties:
magnetization = 4.57 μB/cell

a b c (Å): 4.101 4.101 5.997
angles (deg): 90.00 90.00 90.00
Positions (direct):
I  0.000  0.000  0.500
Re  0.500  0.500  0.500
Sc  0.000  0.000  0.000
N  0.000  0.500  0.000
N  0.500  0.000  0.000

=====

Most stable of them? <i>.

=====

<i>
An optimized crystal structure of ReTcIN2. Source: the Alexandria database, functional PBE.

Computed properties:
magnetization = 3.48 μB/cell

a b c (Å): 3.900 3.900 5.762
angles (deg): 90.00 90.00 90.00
Positions (direct):
I  0.000  0.000  0.500
Re  0.500  0.500  0.500
Tc  0.000  0.000  0.000
N  0.000  0.500  0.000
N  0.500  0.000  0.000

=====

<ii>
An optimized crystal structure of ReTcIN2. Source: the Alexandria database, functional PBE.

Computed properties:
magnetization = 3.58 μB/cell

a b c (Å): 3.896 3.896 5.827
angles (deg): 90.00 90.00 90.00
Positions (direct):
I  0.000  0.000  0.500
Re  0.000  0.000  0.000
Tc  0.500  0.500  0.500
N  0.000  0.500  0.000
N  0.500  0.000  0.000

=====

Most stable of them? <ii>.

=====

<i>
An optimized crystal structure of TlReIN2. Source: the Alexandria database, functional PBE.

Computed properties:
magnetization = 0.00 μB/cell

a b c (Å): 4.084 4.084 5.738
angles (deg): 90.00 90.00 90.00
Positions (direct):
I  0.000  0.000  0.500
Re  0.000  0.000  0.000
Tl  0.500  0.500  0.500
N  0.000  0.500  0.000
N  0.500  0.000  0.000

=====

<ii>
An optimized crystal structure of TlReIN2. Source: the Alexandria database, functional PBE.

Computed properties:
magnetization = 0.00 μB/cell

a b c (Å): 4.006 6.033 4.006
angles (deg): 90.00 90.00 90.00
Positions (direct):
I  0.500  0.500  0.500
Re  0.000  0.000  0.000
Tl  0.000  0.500  0.000
N  0.000  0.000  0.500
N  0.500  0.000  0.000

=====

Most stable of them? <ii>.

=====

<i>
An optimized crystal structure of YReIN2. Source: the Alexandria database, functional PBE.

Computed properties:
magnetization = 5.06 μB/cell

a b c (Å): 4.335 4.335 6.237
angles (deg): 90.00 90.00 90.00
Positions (direct):
I  0.000  0.000  0.500
Re  0.500  0.500  0.500
Y  0.000  0.000  0.000
N  0.000  0.500  0.000
N  0.500  0.000  0.000

=====

<ii>
An optimized crystal structure of YReIN2. Source: the Alexandria database, functional PBE.

Computed properties:
magnetization = 0.00 μB/cell

a b c (Å): 4.048 4.048 5.453
angles (deg): 90.00 90.00 90.00
Positions (direct):
I  0.000  0.000  0.500
Re  0.000  0.000  0.000
Y  0.500  0.500  0.500
N  0.000  0.500  0.000
N  0.500  0.000  0.000

=====

Most stable of them? <ii>.

=====

<i>
An optimized crystal structure of ZnReIN2. Source: the Alexandria database, functional PBE.

Computed properties:
magnetization = 0.00 μB/cell

a b c (Å): 3.907 3.907 5.823
angles (deg): 90.00 90.00 90.00
Positions (direct):
I  0.000  0.000  0.500
Re  0.000  0.000  0.000
Zn  0.500  0.500  0.500
N  0.000  0.500  0.000
N  0.500  0.000  0.000

=====

<ii>
An optimized crystal structure of ZnReIN2. Source: the Alexandria database, functional PBE.

Computed properties:
magnetization = 0.00 μB/cell

a b c (Å): 3.879 3.879 5.436
angles (deg): 90.00 90.00 90.00
Positions (direct):
I  0.000  0.000  0.500
Re  0.500  0.500  0.500
Zn  0.000  0.000  0.000
N  0.000  0.500  0.000
N  0.500  0.000  0.000

=====

Most stable of them? <i>.

=====

<i>
An optimized crystal structure of ZrReI2N. Source: the Alexandria database, functional PBE.

Computed properties:
magnetization = 1.81 μB/cell

a b c (Å): 5.591 5.591 3.757
angles (deg): 90.00 90.00 90.00
Positions (direct):
I  0.000  0.500  0.000
I  0.500  0.000  0.000
Re  0.000  0.000  0.000
Zr  0.500  0.500  0.500
N  0.000  0.000  0.500

=====

<ii>
An optimized crystal structure of ZrReI2N. Source: the Alexandria database, functional PBE.

Computed properties:
magnetization = 5.76 μB/cell

a b c (Å): 6.029 6.029 4.031
angles (deg): 90.00 90.00 90.00
Positions (direct):
I  0.000  0.500  0.000
I  0.500  0.000  0.000
Re  0.500  0.500  0.500
Zr  0.000  0.000  0.000
N  0.000  0.000  0.500

=====

Most stable of them? <i>.

=====

<i>
An optimized crystal structure of RhI3N. Source: the Alexandria database, functional PBE.

Computed properties:
magnetization = 2.29 μB/cell

a b c (Å): 4.977 4.977 4.977
angles (deg): 90.00 90.00 90.00
Positions (direct):
I  0.000  0.500  0.000
I  0.000  0.000  0.500
I  0.500  0.000  0.000
Rh  0.500  0.500  0.500
N  0.000  0.000  0.000

=====

<ii>
An optimized crystal structure of RhI3N. Source: the Alexandria database, functional PBE.

Computed properties:
magnetization = 4.07 μB/cell

a b c (Å): 5.461 5.461 5.461
angles (deg): 90.00 90.00 90.00
Positions (direct):
I  0.000  0.500  0.000
I  0.000  0.000  0.500
I  0.500  0.000  0.000
Rh  0.000  0.000  0.000
N  0.500  0.500  0.500

=====

Most stable of them? <ii>.

=====

<i>
An optimized crystal structure of RhSI2N. Source: the Alexandria database, functional PBE.

Computed properties:
magnetization = 0.61 μB/cell

a b c (Å): 5.592 5.592 3.681
angles (deg): 90.00 90.00 90.00
Positions (direct):
I  0.000  0.500  0.000
I  0.500  0.000  0.000
S  0.500  0.500  0.500
Rh  0.000  0.000  0.000
N  0.000  0.000  0.500

=====

<ii>
An optimized crystal structure of RhSI2N. Source: the Alexandria database, functional PBE.

Computed properties:
magnetization = 1.57 μB/cell

a b c (Å): 5.781 5.781 3.321
angles (deg): 90.00 90.00 90.00
Positions (direct):
I  0.000  0.500  0.000
I  0.500  0.000  0.000
S  0.000  0.000  0.000
Rh  0.500  0.500  0.500
N  0.000  0.000  0.500

=====

Most stable of them? <i>.

=====

<i>
An optimized crystal structure of Sb2RhIN. Source: the Alexandria database, functional PBE.

Computed properties:
magnetization = 0.00 μB/cell

a b c (Å): 4.726 4.726 4.638
angles (deg): 90.00 90.00 90.00
Positions (direct):
I  0.000  0.000  0.500
Sb  0.000  0.500  0.000
Sb  0.500  0.000  0.000
Rh  0.500  0.500  0.500
N  0.000  0.000  0.000

=====

<ii>
An optimized crystal structure of Sb2RhIN. Source: the Alexandria database, functional PBE.

Computed properties:
magnetization = 2.81 μB/cell

a b c (Å): 5.069 5.069 5.848
angles (deg): 90.00 90.00 90.00
Positions (direct):
I  0.000  0.000  0.500
Sb  0.000  0.500  0.000
Sb  0.500  0.000  0.000
Rh  0.000  0.000  0.000
N  0.500  0.500  0.500

=====

Most stable of them? <i>.